[1]
Material: Cu2OsAu
Method: DFT, PBE
State: relaxed

D(E_F) (states/eV/atom): 0.75
Uncorrected energy (eV/atom): -5.32
E_form (eV per atom): 0.3501
Total magnetic moment (μB/cell): 0.0
Theoretical density (g/cm3): 15.0

abc: 2.6811 3.7199 5.6998
angles: 90.00 90.00 90.00
Closest atoms and distances in Å follow each position.
Element x y z (fractional)
Os 0.5000 0.5000 0.2500  8 Cu 2.64, 2 Os 2.68, 2 Au 2.85
Au 0.5000 0.5000 0.7500  2 Au 2.68, 8 Cu 2.76, 2 Os 2.85
Cu 0.0000 0.0000 0.0201  3 Cu 2.62-2.68, 4 Os 2.64, 4 Au 2.76
Cu 0.0000 0.0000 0.4799  3 Cu 2.62-2.68, 4 Os 2.64, 4 Au 2.76

***

[2]
Material: Mn2Al2Os
Method: DFT, PBE
State: relaxed

D(E_F) (states/eV/atom): 1.09
Uncorrected energy (eV/atom): -7.22
E_form (eV per atom): 0.1956
Total magnetic moment (μB/cell): 0.0
Theoretical density (g/cm3): 8.4

abc: 3.0983 3.0983 7.5732
angles: 78.20 78.20 90.00
Closest atoms and distances in Å follow each position.
Element x y z (fractional)
Al 0.4014 0.4014 0.1972  4 Os 2.62, 4 Mn 2.69, 1 Al 2.86
Os 0.0000 0.0000 0.0000  8 Al 2.62
Mn 0.7500 0.2500 0.5000  4 Mn 2.19
Al 0.5986 0.5986 0.8028  4 Os 2.62, 4 Mn 2.69, 1 Al 2.86
Mn 0.2500 0.7500 0.5000  4 Mn 2.19

***

> Which value of total magnetic moment does entry 1 give?

0.0 μB/cell